[1]
Computed, not measured: a relaxed structure of NaRe2SnS at the PBE level of DFT.

Its space-group type is P4/mmm, No. 123. As for the raw formation energy: 2158 meV/atom. The magnetization is 5.35 μB per formula unit.

Cell and atoms, written as POSCAR:
```
NaRe2SnS
1.0
-0.1527 -5.0420 0.0793
1.7997 0.0272 5.1933
-4.7644 0.1703 1.6502
Re S Sn Na
2 1 1 1
Cartesian
-2.3822 0.0851 0.8251
-0.0764 -2.5210 0.0397
-1.5587 -2.4223 3.4614
0.0000 0.0000 0.0000
0.8999 0.0136 2.5967
```

***

[2]
Computed, not measured: a relaxed structure of Si2BrN at the PBE level of DFT.

Its space-group type is Fm-3m, No. 225. As for the raw formation energy: 1485 meV/atom. The magnetization is 0.00 μB per formula unit.

Cell and atoms, written as POSCAR:
```
Si2BrN
1.0
0.0000 3.1474 3.1474
3.1474 0.0000 3.1474
3.1474 3.1474 0.0000
Si Br N
2 1 1
Cartesian
1.5737 1.5737 1.5737
4.7211 4.7211 4.7211
3.1474 3.1474 3.1474
0.0000 0.0000 0.0000
```

***

[3]
Computed, not measured: a relaxed structure of NdEr2Tm3S6 at the PBE level of DFT.

Its space-group type is C2/m, No. 12. As for the raw formation energy: -1951 meV/atom. The magnetization is 0.00 μB per formula unit.

Cell and atoms, written as POSCAR:
```
NdEr2Tm3S6
1.0
3.8712 0.0000 0.0000
0.0000 7.8227 0.2697
-1.9356 -2.2660 8.1602
Nd Er Tm S
1 2 3 6
Cartesian
1.9356 0.0000 0.0000
1.9356 3.7205 5.6425
0.0000 1.8362 2.7874
1.9356 3.9114 0.1348
1.9356 -0.2278 5.5342
0.0000 5.7845 2.8958
0.0000 5.6720 5.5862
1.9356 3.8183 2.8804
1.9356 -0.1153 2.8437
0.0000 2.0689 0.0792
1.9356 3.4878 8.3507
0.0000 1.7383 5.5495
```

***

[4]
Computed, not measured: a relaxed structure of NiMoBr2 at the PBE level of DFT.

Its space-group type is P4/mmm, No. 123. As for the raw formation energy: 749 meV/atom. The magnetization is 0.00 μB per formula unit.

Cell and atoms, written as POSCAR:
```
NiMoBr2
1.0
3.2305 0.0000 0.0000
0.0000 3.2304 0.0000
0.0000 0.0000 6.3515
Br Mo Ni
2 1 1
Cartesian
0.0000 0.0000 0.0048
0.0000 0.0000 3.1710
1.6152 1.6152 1.5879
1.6152 1.6152 4.7637
```

***

[5]
Computed, not measured: a relaxed structure of Al2GeIrPd at the PBE level of DFT.

The formation energy is 0.02 eV per atom. Its space-group type is P4/mmm, No. 123. The magnetization is 0.00 μB per formula unit.

Cell and atoms, written as POSCAR:
```
Al2GeIrPd
1.0
4.7321 0.0000 0.0000
0.0000 4.6423 0.0000
0.0000 0.0000 4.7321
Ge Ir Al Pd
1 1 2 1
Cartesian
0.0000 2.3212 0.0000
0.0000 0.0000 0.0000
0.0000 0.0000 2.3661
2.3661 0.0000 0.0000
2.3661 2.3212 2.3661
```

***

[6]
Computed, not measured: a relaxed structure of Be2SiIr at the PBE level of DFT.

Its space-group type is I-42d, No. 122. As for the raw formation energy: 322 meV/atom. The magnetization is 0.00 μB per formula unit.

Cell and atoms, written as POSCAR:
```
Be2SiIr
1.0
-4.2335 -3.6658 -3.6066
5.0298 -1.9784 -3.8931
0.7734 -4.6429 -2.3397
Be Si Ir
4 2 2
Cartesian
-1.9382 -3.7981 -3.4231
2.9220 -2.7565 -3.3716
0.7428 -5.5454 -4.4621
1.4125 -8.4743 -8.4221
0.3981 -2.8221 -3.7499
3.1006 -4.7217 -4.9913
0.0000 0.0000 0.0000
-1.5310 -5.5654 -4.8481
```

***

[7]
Computed, not measured: a relaxed structure of MoP at the PBE level of DFT.

The formation energy is -0.13 eV per atom. Its space-group type is R-3m, No. 166. The magnetization is 0.00 μB per formula unit.

Cell and atoms, written as POSCAR:
```
MoP
1.0
-1.1070 3.2328 -2.1651
-1.6225 0.6441 -3.6492
-3.4779 1.5044 -1.4161
Mo P
1 1
Cartesian
0.0000 0.0000 0.0000
-3.1037 2.6906 -3.6152
```

***

[8]
Computed, not measured: a relaxed structure of ErInPdRu at the PBE level of DFT.

The formation energy is -0.57 eV per atom. Its space-group type is Pmmm, No. 47. The magnetization is 0.00 μB per formula unit.

Cell and atoms, written as POSCAR:
```
ErInPdRu
1.0
-0.1348 0.3836 -3.5012
4.4795 -0.6137 -0.2397
-0.6451 -4.5251 -0.4710
Er In Pd Ru
1 1 1 1
Cartesian
2.1724 -0.1150 -1.8704
-0.3900 -2.0707 -1.9861
1.9172 -2.5694 -0.3553
0.0000 0.0000 0.0000
```

***

- Look up the magnetization of the second one.
  0.00 μB per formula unit